## Rb4Nd6F19 (GGA-PBE)

Data for a geometry-optimized Rb4Nd6F19 structure.

Cell lengths 10.1198, 10.1198, 10.1198 Å; angles 109.47, 109.47, 109.47 degrees
Positions (direct):
F1 0.0589 0.3592 0.6925
F2 0.3003 0.9411 0.6335
F3 0.0000 0.3822 0.3822
F4 0.3822 0.0000 0.3822
F5 0.6178 0.0000 0.6178
F6 0.0000 0.0000 0.0000
F7 0.3822 0.3822 0.0000
F8 0.6925 0.0589 0.3592
F9 0.6408 0.6997 0.3333
F10 0.6335 0.3003 0.9411
F11 0.3333 0.6408 0.6997
F12 0.3592 0.6925 0.0589
F13 0.6178 0.6178 0.0000
F14 0.6667 0.3665 0.3075
F15 0.3075 0.6667 0.3665
F16 0.6997 0.3333 0.6408
F17 0.0000 0.6178 0.6178
F18 0.3665 0.3075 0.6667
F19 0.9411 0.6335 0.3003
Nd1 0.6625 0.5000 0.1625
Nd2 0.3375 0.5000 0.8375
Nd3 0.8375 0.3375 0.5000
Nd4 0.1625 0.6625 0.5000
Nd5 0.5000 0.8375 0.3375
Nd6 0.5000 0.1625 0.6625
Rb1 0.0000 0.0000 0.7363
Rb2 0.0000 0.7363 0.0000
Rb3 0.7363 0.0000 0.0000
Rb4 0.2637 0.2637 0.2637

Density of states at the Fermi level (states/eV/f.u.): 6.2
Density (g/cm³): 3.3
Energy relative to the elements, uncorrected (kJ per mole of atoms): -330.5
Uncorrected energy (eV/atom): -5.77
M_tot (μB per cell): 0.00

=====

## LiSc3V (GGA-PBE)

Data for a geometry-optimized LiSc3V structure.

Cell lengths 5.0124, 5.0124, 5.0124 Å; angles 90.00, 90.00, 90.00 degrees
Site moments in Bohr magnetons follow the coordinates.
Positions (direct):
V1 0.0000 0.0000 0.0000  0.89
Li1 0.5000 0.5000 0.5000  0.00
Sc1 0.5000 0.0000 0.0000  0.08
Sc2 0.0000 0.0000 0.5000  0.08
Sc3 0.0000 0.5000 0.0000  0.08

Density of states at the Fermi level (states/eV/f.u.): 4.7
Density (g/cm³): 2.5
Uncorrected energy (eV/atom): -5.50
Formation enthalpy at 0 K (eV per formula unit): 2.54
M_tot (μB per cell): 1.23

=====

## FeTe2P6 (GGA-PBE)

Data for a geometry-optimized FeTe2P6 structure.

Cell lengths 7.2817, 7.2817, 3.6221 Å; angles 90.00, 90.00, 120.00 degrees
Positions (direct):
P1 0.2152 0.2152 0.5000
P2 0.0000 0.3215 0.0000
P3 0.7848 0.0000 0.5000
P4 0.6785 0.6785 0.0000
P5 0.0000 0.7848 0.5000
P6 0.3215 0.0000 0.0000
Te1 0.3333 0.6667 0.5000
Te2 0.6667 0.3333 0.5000
Fe1 0.0000 0.0000 0.0000

Density of states at the Fermi level (states/eV/f.u.): 4.0
Density (g/cm³): 5.0
Energy relative to the elements, uncorrected (kJ per mole of atoms): 38.5
Uncorrected energy (eV/atom): -4.85
M_tot (μB per cell): 0.00